Pr3Er5 | PBE | optimized geometry

The formation energy comes out at 0.023 eV/atom. The uncorrected energy is -73.94 eV per cell. The value obtained for the density of states at the Fermi level is 22.486 states/eV/cell.

The structure belongs to space group Cmmm (No. 65); the cell edges are 10.067, 10.196 and 5.072 Å and the angles 90.00°, 90.00° and 90.00°. The asymmetric unit holds Pr at (0.000, 0.000, 0.000), Pr at (0.000, 0.253, 0.500), Er at (0.000, 0.500, 0.000), Er at (0.249, 0.500, 0.500) and Er at (0.250, 0.250, 0.000).

***

ScAl2Os | PBE | optimized geometry

The formation energy comes out at -0.249 eV/atom. The uncorrected energy is -52.08 eV per cell. The value obtained for the density of states at the Fermi level is 4.809 states/eV/cell.

The structure belongs to space group Cmmm (No. 65); the cell edges are 5.592, 7.144 and 3.200 Å and the angles 90.00°, 90.00° and 90.00°. The asymmetric unit holds Sc at (0.000, 0.000, 0.000), Al at (0.250, 0.250, 0.500) and Os at (0.000, 0.500, 0.000).

***

HoGa2Pt5 | PBE | optimized geometry

The formation energy comes out at -0.760 eV/atom. The uncorrected energy is -93.82 eV per cell. The value obtained for the density of states at the Fermi level is 6.546 states/eV/cell.

The structure belongs to space group Immm (No. 71); the cell edges are 3.821, 7.208 and 10.149 Å and the angles 90.00°, 90.00° and 90.00°. The asymmetric unit holds Ho at (0.000, 0.000, 0.000), Ga at (0.000, 0.500, 0.247), Pt at (0.000, 0.204, 0.362) and Pt at (0.000, 0.500, 0.000).

***

Dy7Tm | PBE | optimized geometry

The formation energy comes out at 0.020 eV/atom. The uncorrected energy is -146.12 eV per cell. The value obtained for the density of states at the Fermi level is 44.991 states/eV/cell.

The structure belongs to space group Fm-3m (No. 225); the cell edges are 9.968, 9.968 and 9.968 Å and the angles 90.00°, 90.00° and 90.00°. The asymmetric unit holds Dy at (0.000, 0.000, 0.000), Dy at (0.000, 0.250, 0.250) and Tm at (0.000, 0.000, 0.500).

***

GaBiTeI2 | PBE | optimized geometry

The calculation puts the uncorrected formation energy at 0.032 eV per atom. The uncorrected energy is -12.99 eV per cell. The value obtained for the density of states at the Fermi level is 1.641 states/eV/cell.

The structure belongs to space group P4/mmm (No. 123); the cell edges are 6.194, 6.194 and 5.982 Å and the angles 90.00°, 90.00° and 90.00°. The asymmetric unit holds Ga at (0.000, 0.000, 0.000), Bi at (0.500, 0.500, 0.500), Te at (0.500, 0.500, 0.000) and I at (0.000, 0.500, 0.500).

***

BaHf2ZrTi | PBE | optimized geometry

The formation energy comes out at 1.451 eV/atom. The uncorrected energy is -31.02 eV per cell. The value obtained for the density of states at the Fermi level is 7.057 states/eV/cell.

The structure belongs to space group P4/mmm (No. 123); the cell edges are 5.209, 5.209 and 5.856 Å and the angles 90.00°, 90.00° and 90.00°. The asymmetric unit holds Ba at (0.000, 0.000, 0.000), Hf at (0.000, 0.500, 0.500), Zr at (0.000, 0.000, 0.500) and Ti at (0.500, 0.500, 0.000).

***

Pr5Nd8Ho | PBE | optimized geometry

The formation energy comes out at 0.232 eV/atom. The uncorrected energy is -126.73 eV per cell. The value obtained for the density of states at the Fermi level is 41.810 states/eV/cell.

The structure belongs to space group I-4 (No. 82); the cell edges are 9.884, 9.884 and 10.320 Å and the angles 90.00°, 90.00° and 90.00°. The asymmetric unit holds Pr at (0.000, 0.000, 0.000), Pr at (0.106, 0.210, 0.577), Nd at (0.069, 0.328, 0.906), Nd at (0.083, 0.184, 0.246) and Ho at (0.000, 0.500, 0.250).

***

HgPt2Se | PBE | optimized geometry

The calculation puts the uncorrected formation energy at -0.030 eV per atom. The uncorrected energy is -47.96 eV per cell. The value obtained for the density of states at the Fermi level is 2.724 states/eV/cell.

The structure belongs to space group R3m (No. 160, hexagonal axes); the cell edges are 3.6410, 3.6410 and 22.5431 Å and the angles 90.00°, 90.00° and 120.00°. The asymmetric unit holds Hg at (0.0000, 0.0000, 0.0000), Pt at (0.0000, 0.0000, 0.4894), Pt at (0.0000, 0.0000, 0.7517) and Se at (0.0000, 0.0000, 0.2131).

***

TbCeCu10 | PBE | optimized geometry

The formation energy comes out at -0.149 eV/atom. The uncorrected energy is -53.31 eV per cell. The value obtained for the density of states at the Fermi level is 11.822 states/eV/cell.

The structure belongs to space group Pmmm (No. 47); the cell edges are 4.113, 5.063 and 8.720 Å and the angles 90.00°, 90.00° and 90.00°. The asymmetric unit holds Tb at (0.000, 0.000, 0.000), Ce at (0.000, 0.500, 0.500), Cu at (0.000, 0.000, 0.331), Cu at (0.000, 0.500, 0.164), Cu at (0.500, 0.000, 0.500), Cu at (0.500, 0.249, 0.247) and Cu at (0.500, 0.500, 0.000).

***

Pt2PbW | PBE | optimized geometry

The formation energy comes out at 0.221 eV/atom. The uncorrected energy is -27.86 eV per cell. The value obtained for the density of states at the Fermi level is 2.818 states/eV/cell.

The structure belongs to space group Pmm2 (No. 25); the cell edges are 2.935, 4.591 and 5.342 Å and the angles 90.00°, 90.00° and 90.00°. The asymmetric unit holds Pt at (0.000, 0.000, 0.000), Pt at (0.000, 0.500, 0.307), Pb at (0.500, 0.000, 0.508) and W at (0.500, 0.500, 0.869).

***

YVCoTe2 | PBE | optimized geometry

The calculation puts the uncorrected formation energy at 0.027 eV per atom. The uncorrected energy is -28.84 eV per cell. The value obtained for the density of states at the Fermi level is 4.392 states/eV/cell.

The structure belongs to space group P4/mmm (No. 123); the cell edges are 5.225, 5.225 and 4.338 Å and the angles 90.00°, 90.00° and 90.00°. The asymmetric unit holds Y at (0.000, 0.000, 0.000), V at (0.500, 0.500, 0.500), Co at (0.500, 0.500, 0.000) and Te at (0.000, 0.500, 0.500).

***

Na2TmRuO6 | PBE | optimized geometry

The calculation puts the uncorrected formation energy at -1.729 eV per atom. The uncorrected energy is -126.85 eV per cell. The value obtained for the density of states at the Fermi level is 8.418 states/eV/cell.

The structure belongs to space group P2_1/c (No. 14); the cell edges are 5.588, 5.690 and 9.718 Å and the angles 90.00°, 124.75° and 90.00°. The asymmetric unit holds Na at (0.242, 0.037, 0.250), Tm at (0.500, 0.000, 0.000), Ru at (0.000, 0.000, 0.500), O at (0.140, 0.225, 0.955), O at (0.235, 0.689, 0.959) and O at (0.313, 0.022, 0.731).

***

DyTmCdRh | PBE | optimized geometry

The formation energy comes out at -0.640 eV/atom. The uncorrected energy is -19.90 eV per cell. The value obtained for the density of states at the Fermi level is 2.249 states/eV/cell.

The structure belongs to space group P4mm (No. 99); the cell edges are 3.483, 3.483 and 7.507 Å and the angles 90.00°, 90.00° and 90.00°. The asymmetric unit holds Dy at (0.000, 0.000, 0.000), Tm at (0.000, 0.000, 0.566), Cd at (0.500, 0.500, 0.288) and Rh at (0.500, 0.500, 0.777).

***

KSr2Ir | PBE | optimized geometry

The formation energy comes out at 0.234 eV/atom. The uncorrected energy is -49.54 eV per cell. The value obtained for the density of states at the Fermi level is 5.681 states/eV/cell.

The structure belongs to space group I-42d (No. 122); the cell edges are 9.849, 9.849 and 7.057 Å and the angles 90.00°, 90.00° and 90.00°. The asymmetric unit holds K at (0.000, 0.000, 0.000), Sr at (0.126, 0.250, 0.625) and Ir at (0.000, 0.000, 0.500).

***

PmCuGe | PBE | optimized geometry

The formation energy comes out at -0.673 eV/atom. The uncorrected energy is -30.96 eV per cell. The value obtained for the density of states at the Fermi level is 1.335 states/eV/cell.

The structure belongs to space group P6_3/mmc (No. 194); the cell edges are 4.2929, 4.2929 and 7.7364 Å and the angles 90.00°, 90.00° and 120.00°. The asymmetric unit holds Pm at (0.0000, 0.0000, 0.0000), Cu at (0.3333, 0.6667, 0.2500) and Ge at (0.3333, 0.6667, 0.7500).

***

Ta5Mo3 | PBE | optimized geometry

The formation energy comes out at -0.037 eV/atom. The uncorrected energy is -184.10 eV per cell. The value obtained for the density of states at the Fermi level is 15.225 states/eV/cell.

The structure belongs to space group Cmmm (No. 65); the cell edges are 3.240, 4.660 and 18.366 Å and the angles 90.00°, 90.00° and 90.00°. The asymmetric unit holds Ta at (0.000, 0.000, 0.000), Ta at (0.000, 0.000, 0.260), Ta at (0.000, 0.500, 0.130), Mo at (0.000, 0.000, 0.500) and Mo at (0.000, 0.500, 0.382).

***

CsMgBr2 | PBE | optimized geometry

The calculation puts the uncorrected formation energy at -0.941 eV per atom. The uncorrected energy is -38.23 eV per cell. The value obtained for the density of states at the Fermi level is 10.698 states/eV/cell.

The structure belongs to space group Fm-3m (No. 225); the cell edges are 8.276, 8.276 and 8.276 Å and the angles 90.00°, 90.00° and 90.00°. The asymmetric unit holds Cs at (0.000, 0.000, 0.000), Mg at (0.000, 0.000, 0.500) and Br at (0.250, 0.250, 0.250).

***

KRbV2 | PBE | optimized geometry

The formation energy comes out at 1.722 eV/atom. The uncorrected energy is -53.66 eV per cell. The value obtained for the density of states at the Fermi level is 52.363 states/eV/cell.

The structure belongs to space group Fm-3m (No. 225); the cell edges are 8.474, 8.474 and 8.474 Å and the angles 90.00°, 90.00° and 90.00°. The asymmetric unit holds K at (0.000, 0.000, 0.000), Rb at (0.000, 0.000, 0.500) and V at (0.250, 0.250, 0.250).

***

BaMg2Hg2 | PBE | optimized geometry

The formation energy comes out at -0.190 eV/atom. The uncorrected energy is -13.33 eV per cell. The value obtained for the density of states at the Fermi level is 6.337 states/eV/cell.

The structure belongs to space group P4/mbm (No. 127); the cell edges are 8.709, 8.709 and 3.831 Å and the angles 90.00°, 90.00° and 90.00°. The asymmetric unit holds Ba at (0.000, 0.000, 0.000), Mg at (0.147, 0.353, 0.500) and Hg at (0.136, 0.636, 0.000).

***

TbEr5Tm | PBE | optimized geometry

The formation energy comes out at 1.013 eV/atom. The uncorrected energy is -49.65 eV per cell. The value obtained for the density of states at the Fermi level is 16.853 states/eV/cell.

The structure belongs to space group Imm2 (No. 44); the cell edges are 7.863, 11.634 and 6.095 Å and the angles 90.00°, 90.00° and 90.00°. The asymmetric unit holds Tb at (0.000, 0.000, 0.000), Er at (0.000, 0.248, 0.494), Er at (0.000, 0.500, 0.737), Er at (0.181, 0.000, 0.500) and Tm at (0.000, 0.500, 0.263).

***

Rb2CaCrBr6 | PBE | optimized geometry

The calculation puts the uncorrected formation energy at -1.470 eV per atom. The uncorrected energy is -153.19 eV per cell. The value obtained for the density of states at the Fermi level is 31.672 states/eV/cell.

The structure belongs to space group Fm-3m (No. 225); the cell edges are 11.059, 11.059 and 11.059 Å and the angles 90.00°, 90.00° and 90.00°. The asymmetric unit holds Rb at (0.250, 0.250, 0.250), Ca at (0.000, 0.000, 0.000), Cr at (0.000, 0.000, 0.500) and Br at (0.000, 0.000, 0.260).

***

TaCu2Hg | PBE | optimized geometry

The formation energy comes out at 0.408 eV/atom. The uncorrected energy is -37.43 eV per cell. The value obtained for the density of states at the Fermi level is 3.954 states/eV/cell.

The structure belongs to space group I-4m2 (No. 119); the cell edges are 4.160, 4.160 and 7.352 Å and the angles 90.00°, 90.00° and 90.00°. The asymmetric unit holds Ta at (0.000, 0.000, 0.000), Cu at (0.000, 0.000, 0.500), Cu at (0.000, 0.500, 0.750) and Hg at (0.000, 0.500, 0.250).

***

Ag2HgTeS4 | PBE | optimized geometry

The calculation puts the uncorrected formation energy at 0.048 eV per atom. The uncorrected energy is -101.10 eV per cell. The value obtained for the density of states at the Fermi level is 10.892 states/eV/cell.

The structure belongs to space group C2/c (No. 15); the cell edges are 10.849, 11.205 and 7.771 Å and the angles 90.00°, 133.89° and 90.00°. The asymmetric unit holds Ag at (0.000, 0.000, 0.000), Ag at (0.250, 0.250, 0.000), Hg at (0.250, 0.250, 0.500), Te at (0.000, 0.500, 0.000), S at (0.034, 0.253, 0.530) and S at (0.246, 0.485, 0.992).

***

Ca2InTe | PBE | optimized geometry

The calculation puts the uncorrected formation energy at -0.837 eV per atom. The uncorrected energy is -39.69 eV per cell. The value obtained for the density of states at the Fermi level is 10.693 states/eV/cell.

The structure belongs to space group R-3m (No. 166, hexagonal axes); the cell edges are 4.2149, 4.2149 and 26.1548 Å and the angles 90.00°, 90.00° and 120.00°. The asymmetric unit holds Ca at (0.0000, 0.0000, 0.2412), In at (0.0000, 0.0000, 0.0000) and Te at (0.0000, 0.0000, 0.5000).

***

CeZn4Cd8 | PBE | optimized geometry

The formation energy comes out at -0.098 eV/atom. The uncorrected energy is -39.25 eV per cell. The value obtained for the density of states at the Fermi level is 19.154 states/eV/cell.

The structure belongs to space group I4/mmm (No. 139); the cell edges are 9.669, 9.669 and 5.684 Å and the angles 90.00°, 90.00° and 90.00°. The asymmetric unit holds Ce at (0.000, 0.000, 0.000), Zn at (0.250, 0.250, 0.250), Cd at (0.000, 0.217, 0.500) and Cd at (0.000, 0.346, 0.000).

***

For reference, volume by record: 32.537, 15.979, 17.471, 30.954, 45.897, 31.780, 36.010, 21.567, 15.132, 17.997, 23.681, 12.694, 22.769, 42.784, 20.578, 17.332, 35.433, 38.028, 29.058, 39.824, 33.810, 15.903, 21.273, 33.541, 20.435 Å³ per atom.